Record 1
Compound: ZrTaAgS2
Source: the Alexandria database
Functional: meta-GGA SCAN
Structure: PBEsol geometry

Calculated values
formation energy without anion corrections = 1.257 eV per atom
Fermi-level density of states = 4.53 states/eV/cell
calculated total energy = -141.62 eV/cell

Lattice parameters (Å, degrees): 4.609 4.609 5.022 90.00 90.00 90.00
Fractional coordinates of all 5 atoms:
S 0.000 0.500 0.000
S 0.500 0.000 0.000
Zr 0.000 0.000 0.500
Ag 0.000 0.000 0.000
Ta 0.500 0.500 0.500



Record 2
Compound: ZnTcAg2S
Source: the Alexandria database
Functional: meta-GGA SCAN
Structure: PBEsol geometry

Calculated values
formation energy without anion corrections = 1.062 eV per atom
Fermi-level density of states = 2.65 states/eV/cell
calculated total energy = -115.63 eV/cell

Lattice parameters (Å, degrees): 4.620 4.620 4.705 90.00 90.00 90.00
Fractional coordinates of all 5 atoms:
S 0.500 0.500 0.500
Zn 0.000 0.000 0.000
Tc 0.000 0.000 0.500
Ag 0.000 0.500 0.000
Ag 0.500 0.000 0.000



Record 3
Compound: AgTeS2
Source: the Alexandria database
Functional: meta-GGA SCAN
Structure: PBEsol geometry

Calculated values
formation energy without anion corrections = 0.188 eV per atom
Fermi-level density of states = 1.53 states/eV/cell
calculated total energy = -87.12 eV/cell

Lattice parameters (Å, degrees): 4.258 4.258 7.483 73.47 73.47 60.00
Fractional coordinates of all 4 atoms:
S 0.891 0.891 0.327
S 0.109 0.109 0.673
Te 0.500 0.500 0.500
Ag 0.000 0.000 0.000



Record 4
Compound: V3Ag2TeS6
Source: the Alexandria database
Functional: meta-GGA SCAN
Structure: PBEsol geometry

Calculated values
formation energy without anion corrections = -0.810 eV per atom
Fermi-level density of states = 5.92 states/eV/cell
calculated total energy = -219.94 eV/cell

Lattice parameters (Å, degrees): 5.418 5.418 7.976 90.00 90.00 120.00
Fractional coordinates of all 12 atoms:
V 0.341 0.000 0.500
V 0.659 0.659 0.500
V 0.000 0.341 0.500
Ag 0.333 0.667 0.000
Ag 0.667 0.333 0.000
Te 0.000 0.000 0.000
S 0.667 0.333 0.315
S 0.667 0.333 0.685
S 0.333 0.667 0.315
S 0.333 0.667 0.685
S 0.000 0.000 0.326
S 0.000 0.000 0.674



Record 5
Compound: TiAg2S2
Source: the Alexandria database
Functional: meta-GGA SCAN
Structure: PBEsol geometry

Calculated values
formation energy without anion corrections = 0.105 eV per atom
Fermi-level density of states = 1.10 states/eV/cell
calculated total energy = -97.50 eV/cell

Lattice parameters (Å, degrees): 4.817 5.256 4.817 62.73 90.00 117.27
Fractional coordinates of all 5 atoms:
S 0.750 0.500 0.750
S 0.250 0.500 0.250
Ag 0.660 0.321 0.340
Ag 0.340 0.679 0.660
Ti 0.000 0.000 0.000



Record 6
Compound: TlAg2S2
Source: the Alexandria database
Functional: meta-GGA SCAN
Structure: PBEsol geometry

Calculated values
formation energy without anion corrections = -0.078 eV per atom
Fermi-level density of states = 3.32 states/eV/cell
calculated total energy = -154.74 eV/cell

Lattice parameters (Å, degrees): 4.203 4.203 6.603 108.56 108.56 90.00
Fractional coordinates of all 5 atoms:
Tl 0.000 0.000 0.000
S 0.374 0.374 0.749
S 0.626 0.626 0.251
Ag 0.250 0.750 0.500
Ag 0.750 0.250 0.500



Record 7
Compound: TlAg3S2
Source: the Alexandria database
Functional: meta-GGA SCAN
Structure: PBEsol geometry

Calculated values
formation energy without anion corrections = -0.169 eV per atom
calculated total energy = -746.92 eV/cell

Lattice parameters (Å, degrees): 6.882 8.106 8.662 90.00 90.00 90.00
Fractional coordinates of all 24 atoms:
Tl 0.250 0.000 0.930
Tl 0.750 0.500 0.570
Tl 0.750 0.000 0.070
Tl 0.250 0.500 0.430
Ag 0.250 0.000 0.318
Ag 0.383 0.658 0.097
Ag 0.617 0.158 0.403
Ag 0.117 0.342 0.097
Ag 0.617 0.342 0.903
Ag 0.117 0.158 0.597
Ag 0.383 0.842 0.597
Ag 0.883 0.658 0.903
Ag 0.750 0.000 0.682
Ag 0.250 0.500 0.818
Ag 0.883 0.842 0.403
Ag 0.750 0.500 0.182
S 0.979 0.312 0.826
S 0.479 0.188 0.674
S 0.021 0.812 0.674
S 0.521 0.688 0.826
S 0.979 0.188 0.326
S 0.479 0.312 0.174
S 0.021 0.688 0.174
S 0.521 0.812 0.326



Record 8
Compound: YAgS3
Source: the Alexandria database
Functional: meta-GGA SCAN
Structure: PBEsol geometry

Calculated values
formation energy without anion corrections = -0.524 eV per atom
Fermi-level density of states = 0.79 states/eV/cell
calculated total energy = -90.71 eV/cell

Lattice parameters (Å, degrees): 4.698 4.698 4.698 90.00 90.00 90.00
Fractional coordinates of all 5 atoms:
Y 0.500 0.500 0.500
S 0.000 0.500 0.000
S 0.000 0.000 0.500
S 0.500 0.000 0.000
Ag 0.000 0.000 0.000



Record 9
Compound: ZnAg2S2
Source: the Alexandria database
Functional: meta-GGA SCAN
Structure: PBEsol geometry

Calculated values
formation energy without anion corrections = 0.372 eV per atom
Fermi-level density of states = 1.62 states/eV/cell
calculated total energy = -93.65 eV/cell

Lattice parameters (Å, degrees): 3.424 3.424 7.788 102.70 102.70 90.00
Fractional coordinates of all 5 atoms:
Zn 0.000 0.000 0.000
S 0.250 0.750 0.500
S 0.750 0.250 0.500
Ag 0.409 0.409 0.819
Ag 0.591 0.591 0.181



Record 10
Compound: ZrAgS3
Source: the Alexandria database
Functional: meta-GGA SCAN
Structure: PBEsol geometry

Calculated values
formation energy without anion corrections = 0.203 eV per atom
Fermi-level density of states = 3.64 states/eV/cell
calculated total energy = -89.94 eV/cell

Lattice parameters (Å, degrees): 4.639 4.639 4.639 90.00 90.00 90.00
Fractional coordinates of all 5 atoms:
S 0.000 0.500 0.000
S 0.000 0.000 0.500
S 0.500 0.000 0.000
Zr 0.500 0.500 0.500
Ag 0.000 0.000 0.000



Record 11
Compound: Ag8Sb
Source: the Alexandria database
Functional: meta-GGA SCAN
Structure: PBEsol geometry

Calculated values
formation energy without anion corrections = 0.022 eV per atom
Fermi-level density of states = 2.26 states/eV/cell
calculated total energy = -288.00 eV/cell

Lattice parameters (Å, degrees): 4.162 6.475 6.475 84.07 71.25 71.25
Fractional coordinates of all 9 atoms:
Sb 0.000 0.000 0.000
Ag 0.330 0.000 0.340
Ag 0.670 0.000 0.660
Ag 0.663 0.337 0.337
Ag 0.330 0.340 0.000
Ag 0.000 0.337 0.663
Ag 0.670 0.660 0.000
Ag 0.337 0.663 0.663
Ag 0.000 0.663 0.337



Record 12
Compound: Ag3Sb
Source: the Alexandria database
Functional: meta-GGA SCAN
Structure: PBEsol geometry

Calculated values
formation energy without anion corrections = 0.088 eV per atom
Fermi-level density of states = 1.60 states/eV/cell
calculated total energy = -262.02 eV/cell

Lattice parameters (Å, degrees): 5.336 5.336 5.336 90.00 90.00 90.00
Fractional coordinates of all 8 atoms:
Sb 0.000 0.000 0.000
Sb 0.500 0.500 0.500
Ag 0.750 0.500 0.000
Ag 0.250 0.500 0.000
Ag 0.000 0.750 0.500
Ag 0.000 0.250 0.500
Ag 0.500 0.000 0.250
Ag 0.500 0.000 0.750



Record 13
Compound: Ag5Sb3
Source: the Alexandria database
Functional: meta-GGA SCAN
Structure: PBEsol geometry

Calculated values
formation energy without anion corrections = 0.114 eV per atom
Fermi-level density of states = 2.48 states/eV/cell
calculated total energy = -267.70 eV/cell

Lattice parameters (Å, degrees): 4.300 6.108 6.108 91.66 90.00 90.00
Fractional coordinates of all 8 atoms:
Sb 0.000 0.500 0.500
Sb 0.500 0.771 0.229
Sb 0.500 0.229 0.771
Ag 0.000 0.000 0.000
Ag 0.000 0.000 0.500
Ag 0.000 0.500 0.000
Ag 0.500 0.249 0.249
Ag 0.500 0.751 0.751



Record 14
Compound: Ag3Sb
Source: the Alexandria database
Functional: meta-GGA SCAN
Structure: PBEsol geometry

Calculated values
formation energy without anion corrections = 0.027 eV per atom
Fermi-level density of states = 1.60 states/eV/cell
calculated total energy = -262.51 eV/cell

Lattice parameters (Å, degrees): 4.800 5.249 5.894 90.00 90.00 90.00
Fractional coordinates of all 8 atoms:
Sb 0.000 0.337 0.000
Sb 0.500 0.663 0.500
Ag 0.500 0.676 0.000
Ag 0.000 0.324 0.500
Ag 0.000 0.845 0.749
Ag 0.000 0.845 0.251
Ag 0.500 0.155 0.249
Ag 0.500 0.155 0.751



Record 15
Compound: Ag3Sb
Source: the Alexandria database
Functional: meta-GGA SCAN
Structure: PBEsol geometry

Calculated values
formation energy without anion corrections = 0.098 eV per atom
Fermi-level density of states = 1.26 states/eV/cell
calculated total energy = -130.97 eV/cell

Lattice parameters (Å, degrees): 3.145 4.688 5.091 90.00 90.00 90.00
Fractional coordinates of all 4 atoms:
Sb 0.000 0.500 0.333
Ag 0.000 0.000 0.987
Ag 0.500 0.000 0.509
Ag 0.500 0.500 0.838



Record 16
Compound: Ag3Sb
Source: the Alexandria database
Functional: meta-GGA SCAN
Structure: PBEsol geometry

Calculated values
formation energy without anion corrections = 0.087 eV per atom
Fermi-level density of states = 1.00 states/eV/cell
calculated total energy = -131.01 eV/cell

Lattice parameters (Å, degrees): 3.097 5.021 5.151 98.71 90.00 107.97
Fractional coordinates of all 4 atoms:
Sb 0.000 0.000 0.000
Ag 0.500 0.000 0.500
Ag 0.247 0.494 0.738
Ag 0.753 0.506 0.262



Record 17
Compound: Ag3Sb
Source: the Alexandria database
Functional: meta-GGA SCAN
Structure: PBEsol geometry

Calculated values
formation energy without anion corrections = 0.028 eV per atom
Fermi-level density of states = 1.12 states/eV/cell
calculated total energy = -131.25 eV/cell

Lattice parameters (Å, degrees): 4.195 4.195 4.195 90.00 90.00 90.00
Fractional coordinates of all 4 atoms:
Sb 0.000 0.000 0.000
Ag 0.000 0.500 0.500
Ag 0.500 0.000 0.500
Ag 0.500 0.500 0.000



Record 18
Compound: Ag5Sb4
Source: the Alexandria database
Functional: meta-GGA SCAN
Structure: PBEsol geometry

Calculated values
formation energy without anion corrections = 0.109 eV per atom
Fermi-level density of states = 2.62 states/eV/cell
calculated total energy = -304.89 eV/cell

Lattice parameters (Å, degrees): 4.346 6.913 6.913 84.33 71.68 71.68
Fractional coordinates of all 9 atoms:
Sb 0.000 0.696 0.304
Sb 0.000 0.304 0.696
Sb 0.696 0.304 0.304
Sb 0.304 0.696 0.696
Ag 0.000 0.000 0.000
Ag 0.660 0.000 0.679
Ag 0.340 0.000 0.321
Ag 0.660 0.679 0.000
Ag 0.340 0.321 0.000



Record 19
Compound: AgSb5
Source: the Alexandria database
Functional: meta-GGA SCAN
Structure: PBEsol geometry

Calculated values
formation energy without anion corrections = 0.273 eV per atom
Fermi-level density of states = 2.87 states/eV/cell
ΔE to the lowest computed polymorph = 0.196 eV/atom
calculated total energy = -216.03 eV/cell

Lattice parameters (Å, degrees): 5.082 5.840 5.840 120.00 90.00 90.00
Fractional coordinates of all 6 atoms:
Sb 0.000 0.299 0.299
Sb 0.000 0.701 0.000
Sb 0.000 0.000 0.701
Sb 0.500 0.333 0.667
Sb 0.500 0.667 0.333
Ag 0.500 0.000 0.000



Record 20
Compound: Ag3Sb
Source: the Alexandria database
Functional: meta-GGA SCAN
Structure: PBEsol geometry

Calculated values
formation energy without anion corrections = 0.052 eV per atom
Fermi-level density of states = 1.71 states/eV/cell
calculated total energy = -524.62 eV/cell

Lattice parameters (Å, degrees): 5.205 7.795 7.772 90.00 90.00 90.00
Fractional coordinates of all 16 atoms:
Sb 0.407 0.750 0.087
Sb 0.907 0.250 0.413
Sb 0.093 0.750 0.587
Sb 0.593 0.250 0.913
Ag 0.906 0.750 0.931
Ag 0.406 0.250 0.569
Ag 0.594 0.750 0.431
Ag 0.094 0.250 0.069
Ag 0.515 0.933 0.747
Ag 0.015 0.067 0.753
Ag 0.985 0.567 0.247
Ag 0.485 0.433 0.253
Ag 0.485 0.067 0.253
Ag 0.985 0.933 0.247
Ag 0.015 0.433 0.753
Ag 0.515 0.567 0.747